A plane-wave DFT calculation with PBE was carried out for a relaxed structure of Zr3Cd2In2.

Cell lengths 4.9234, 4.9234, 24.3759 Å; angles 90.00, 90.00, 120.00 degrees
With the nearest neighbours (Å) after each atom.
Space group R3m (No. 160, hexagonal axes)
Unique sites:
Zr 0.0000 0.0000 0.0000 [3 per cell]  4 Cd 2.96-2.99, 4 In 3.07-3.15
Zr 0.0000 0.0000 0.2521 [3 per cell]  4 Cd 3.07-3.15, 4 In 3.07-3.14
Zr 0.0000 0.0000 0.5040 [3 per cell]  4 In 2.96-3.00, 4 Cd 3.07-3.14
Cd 0.0000 0.0000 0.1229 [3 per cell]  5 Zr 2.99-3.15
Cd 0.0000 0.0000 0.6329 [3 per cell]  7 Zr 2.96-3.14
In 0.0000 0.0000 0.3810 [3 per cell]  5 Zr 3.00-3.14
In 0.0000 0.0000 0.8707 [3 per cell]  7 Zr 2.96-3.15

Properties
* E_tot: -98.88 eV/cell



A plane-wave DFT calculation with PBE was carried out for a relaxed structure of SrCdB4.

Cell lengths 3.2178, 3.2178, 8.1765 Å; angles 90.00, 90.00, 120.00 degrees
With the nearest neighbours (Å) after each atom.
Space group P6/mmm (No. 191)
Unique sites:
Sr 0.0000 0.0000 0.0000 [1 per cell]  12 B 2.87
Cd 0.0000 0.0000 0.5000 [1 per cell]  12 B 2.66
B 0.3333 0.6667 0.2671 [4 per cell]  3 B 1.86

Properties
* offset from the most stable computed form: 69 meV/atom
* E_tot: -27.21 eV/cell